Entry 1:
DFT (PBE) results for crystalline CsCaTmI6 at its relaxed geometry.

Unit cell a=8.001 b=8.001 c=17.193 alpha=90.00 beta=90.00 gamma=120.00
Fractional positions:
Cs  0.000  0.000  0.000
Cs  0.000  0.000  0.500
Ca  0.333  0.667  0.250
Ca  0.667  0.333  0.750
Tm  0.667  0.333  0.250
Tm  0.333  0.667  0.750
I  0.632  0.619  0.147
I  0.987  0.368  0.147
I  0.368  0.987  0.647
I  0.013  0.632  0.853
I  0.381  0.368  0.353
I  0.987  0.619  0.353
I  0.619  0.987  0.853
I  0.632  0.013  0.353
I  0.013  0.381  0.647
I  0.381  0.013  0.147
I  0.619  0.632  0.647
I  0.368  0.381  0.853

Properties
* symmetry: P-31c, No. 163
* energy: -60.44 eV/cell
* DOS at the Fermi energy: 0.00 states/eV per cell
* formation energy from raw total energies: -1.510 eV per atom
* total magnetic moment: 0.000 μB per formula unit

***

Entry 2:
DFT (PBE) results for crystalline CsCaUI6 at its relaxed geometry.

Unit cell a=8.163 b=8.163 c=17.124 alpha=90.00 beta=90.00 gamma=120.00
Fractional positions:
Cs  0.000  0.000  0.000
Cs  0.000  0.000  0.500
Ca  0.333  0.667  0.250
Ca  0.667  0.333  0.750
U  0.667  0.333  0.250
U  0.333  0.667  0.750
I  0.625  0.624  0.143
I  0.999  0.375  0.143
I  0.375  0.999  0.643
I  0.001  0.625  0.857
I  0.376  0.375  0.357
I  0.999  0.624  0.357
I  0.624  0.999  0.857
I  0.625  0.001  0.357
I  0.001  0.376  0.643
I  0.376  0.001  0.143
I  0.624  0.625  0.643
I  0.375  0.376  0.857

Properties
* symmetry: P-31c, No. 163
* energy: -69.52 eV/cell
* formation energy from raw total energies: -1.257 eV per atom
* total magnetic moment: 3.000 μB per formula unit

***

Entry 3:
DFT (PBE) results for crystalline Cs2CaWI6 at its relaxed geometry.

Unit cell a=8.388 b=8.388 c=8.388 alpha=60.00 beta=60.00 gamma=90.00
Fractional positions:
Cs  0.750  0.250  0.500
Cs  0.250  0.750  0.500
I  0.237  0.237  0.525
I  0.763  0.763  0.475
I  0.237  0.237  0.000
I  0.763  0.763  0.000
I  0.763  0.237  0.000
I  0.237  0.763  0.000
Ca  0.500  0.500  0.000
W  0.000  0.000  0.000

Properties
* symmetry: Fm-3m, No. 225
* energy: -34.09 eV/cell
* DOS at the Fermi energy: 5.40 states/eV per cell
* formation energy from raw total energies: -0.813 eV per atom
* total magnetic moment: 2.000 μB per formula unit

***

Entry 4:
DFT (PBE) results for crystalline Cs2CaYI6 at its relaxed geometry.

Unit cell a=8.730 b=8.730 c=8.731 alpha=60.00 beta=60.00 gamma=90.00
Fractional positions:
Cs  0.750  0.250  0.500
Cs  0.250  0.750  0.500
I  0.248  0.248  0.503
I  0.752  0.752  0.497
I  0.248  0.248  0.000
I  0.752  0.752  0.000
I  0.752  0.248  0.000
I  0.248  0.752  0.000
Ca  0.500  0.500  0.000
Y  0.000  0.000  0.000

Properties
* symmetry: Fm-3m, No. 225
* energy: -33.59 eV/cell
* DOS at the Fermi energy: 5.04 states/eV per cell
* formation energy from raw total energies: -1.411 eV per atom
* total magnetic moment: 1.000 μB per formula unit

***

Entry 5:
DFT (PBE) results for crystalline CsCa2YI8 at its relaxed geometry.

Unit cell a=7.717 b=7.342 c=9.962 alpha=89.90 beta=89.93 gamma=88.96
Fractional positions:
Cs  0.000  0.000  0.500
Ca  0.500  0.500  0.750
Ca  0.500  0.500  0.250
Y  0.000  0.000  0.000
I  0.164  0.749  0.207
I  0.671  0.747  0.000
I  0.835  0.250  0.206
I  0.836  0.251  0.793
I  0.329  0.253  0.000
I  0.165  0.750  0.794
I  0.608  0.732  0.500
I  0.392  0.268  0.500

Properties
* symmetry: P-1, No. 2
* energy: -41.22 eV/cell
* DOS at the Fermi energy: 0.00 states/eV per cell
* formation energy from raw total energies: -1.458 eV per atom
* total magnetic moment: 0.000 μB per formula unit

***

Entry 6:
DFT (PBE) results for crystalline CsCaZnI5 at its relaxed geometry.

Unit cell a=8.739 b=8.739 c=11.324 alpha=104.79 beta=104.79 gamma=105.15
Fractional positions:
Cs  0.350  0.650  0.250
Cs  0.650  0.350  0.750
Ca  0.000  0.000  0.500
Ca  0.000  0.000  0.000
Zn  0.687  0.313  0.250
Zn  0.313  0.687  0.750
I  0.079  0.921  0.250
I  0.921  0.079  0.750
I  0.900  0.320  0.119
I  0.100  0.680  0.881
I  0.680  0.100  0.381
I  0.320  0.900  0.619
I  0.765  0.610  0.434
I  0.235  0.390  0.566
I  0.390  0.235  0.066
I  0.610  0.765  0.934

Properties
* symmetry: C2/c, No. 15
* energy: -43.02 eV/cell
* DOS at the Fermi energy: 0.00 states/eV per cell
* formation energy from raw total energies: -1.204 eV per atom
* total magnetic moment: 0.000 μB per formula unit

***

Entry 7:
DFT (PBE) results for crystalline CsCaZn2I at its relaxed geometry.

Unit cell a=6.951 b=5.876 c=6.951 alpha=90.00 beta=90.00 gamma=90.00
Fractional positions:
Cs  0.500  0.500  0.500
I  0.000  0.000  0.000
Zn  0.000  0.000  0.500
Zn  0.500  0.000  0.000
Ca  0.000  0.500  0.000

Properties
* symmetry: P4/mmm, No. 123
* energy: -6.34 eV/cell
* DOS at the Fermi energy: 3.00 states/eV per cell
* formation energy from raw total energies: 0.123 eV per atom
* total magnetic moment: 0.884 μB per formula unit

***

Entry 8:
DFT (PBE) results for crystalline Cs2CaZrI6 at its relaxed geometry.

Unit cell a=8.610 b=8.610 c=8.610 alpha=60.00 beta=60.00 gamma=90.00
Fractional positions:
Cs  0.750  0.250  0.500
Cs  0.250  0.750  0.500
I  0.245  0.245  0.510
I  0.755  0.755  0.490
I  0.245  0.245  0.000
I  0.755  0.755  0.000
I  0.755  0.245  0.000
I  0.245  0.755  0.000
Ca  0.500  0.500  0.000
Zr  0.000  0.000  0.000

Properties
* symmetry: Fm-3m, No. 225
* energy: -33.87 eV/cell
* DOS at the Fermi energy: 8.19 states/eV per cell
* formation energy from raw total energies: -1.232 eV per atom
* total magnetic moment: 2.000 μB per formula unit

***

Entry 9:
DFT (PBE) results for crystalline CsCaIn3 at its relaxed geometry.

Unit cell a=6.128 b=6.128 c=6.128 alpha=90.00 beta=90.00 gamma=90.00
Fractional positions:
Cs  0.500  0.500  0.500
Ca  0.000  0.000  0.000
In  0.000  0.500  0.000
In  0.000  0.000  0.500
In  0.500  0.000  0.000

Properties
* symmetry: Pm-3m, No. 221
* energy: -9.94 eV/cell
* DOS at the Fermi energy: 8.97 states/eV per cell
* formation energy from the elements: 0.23 eV per atom
* energy above the lowest structure with this stoichiometry: 0.0 meV/atom
* total magnetic moment: 0.000 μB per formula unit

***

Entry 10:
DFT (PBE) results for crystalline Cs2CaIn at its relaxed geometry.

Unit cell a=6.875 b=6.875 c=6.875 alpha=60.00 beta=60.00 gamma=60.00
Fractional positions:
Cs  0.250  0.250  0.250
Cs  0.750  0.750  0.750
Ca  0.000  0.000  0.000
In  0.500  0.500  0.500

Properties
* symmetry: Fm-3m, No. 225
* energy: -5.27 eV/cell
* DOS at the Fermi energy: 5.22 states/eV per cell
* formation energy from the elements: 0.29 eV per atom
* total magnetic moment: 1.886 μB per formula unit

***

Entry 11:
DFT (PBE) results for crystalline CsCaIn4 at its relaxed geometry.

Unit cell a=6.445 b=6.445 c=6.445 alpha=60.00 beta=60.00 gamma=60.00
Fractional positions:
Cs  0.250  0.250  0.250
Ca  0.000  0.000  0.000
In  0.626  0.626  0.123
In  0.626  0.123  0.626
In  0.626  0.626  0.626
In  0.123  0.626  0.626

Properties
* symmetry: F-43m, No. 216
* energy: -14.77 eV/cell
* DOS at the Fermi energy: 0.51 states/eV per cell
* formation energy from the elements: -0.16 eV per atom
* total magnetic moment: 0.000 μB per formula unit

***

Entry 12:
DFT (PBE) results for crystalline CsCaIn3 at its relaxed geometry.

Unit cell a=6.259 b=6.259 c=6.259 alpha=90.00 beta=90.00 gamma=90.00
Fractional positions:
Cs  0.000  0.000  0.000
Ca  0.500  0.500  0.500
In  0.000  0.500  0.000
In  0.000  0.000  0.500
In  0.500  0.000  0.000

Properties
* symmetry: Pm-3m, No. 221
* energy: -6.90 eV/cell
* DOS at the Fermi energy: 12.58 states/eV per cell
* formation energy from the elements: 0.83 eV per atom
* energy above the lowest structure with this stoichiometry: 609.2 meV/atom
* total magnetic moment: 0.000 μB per formula unit

***

Repeat the fifth record exactly.
DFT (PBE) results for crystalline CsCa2YI8 at its relaxed geometry.

Unit cell a=7.717 b=7.342 c=9.962 alpha=89.90 beta=89.93 gamma=88.96
Fractional positions:
Cs  0.000  0.000  0.500
Ca  0.500  0.500  0.750
Ca  0.500  0.500  0.250
Y  0.000  0.000  0.000
I  0.164  0.749  0.207
I  0.671  0.747  0.000
I  0.835  0.250  0.206
I  0.836  0.251  0.793
I  0.329  0.253  0.000
I  0.165  0.750  0.794
I  0.608  0.732  0.500
I  0.392  0.268  0.500

Properties
* symmetry: P-1, No. 2
* energy: -41.22 eV/cell
* DOS at the Fermi energy: 0.00 states/eV per cell
* formation energy from raw total energies: -1.458 eV per atom
* total magnetic moment: 0.000 μB per formula unit

***

- Which value of energy does entry 12 give?
  -6.90 eV/cell

***

- Among the records above, which one has the highest total magnetic moment?
  CsCaUI6

***

- Which formula does entry 10 have?
  Cs2CaIn